A relaxed FeSnOF2 crystal. Source: Alexandria, functional PBE with a Hubbard U.

Unit cell a=4.124 b=4.124 c=4.089 alpha=90.00 beta=90.00 gamma=90.00
Positions (direct):
Fe 0.000 0.000 0.000
Sn 0.500 0.500 0.500
O 0.000 0.000 0.500
F 0.000 0.500 0.000
F 0.500 0.000 0.000

- N(E_F) (states/eV/cell) = 0.0
- spin magnetization (μB per atom) = 0.800
- calculated volume (Å³/f.u.) = 70
- crystal system = tetragonal
- uncorrected energy (eV per formula unit) = -26.705